{"formula": "CsK2InH6", "functional": "PBE-GGA", "state": "relaxed", "lattice_angstrom": [[3.2315, 1.8657, 5.4814], [-3.2315, 1.8657, 5.4814], [0.0000, -3.7314, 5.4814]], "species": ["Cs", "K", "K", "In", "H", "H", "H", "H", "H", "H"], "fractional_positions": [[0.0000, 0.0000, 0.0000], [0.2301, 0.2301, 0.2301], [0.7414, 0.7414, 0.7414], [0.5297, 0.5297, 0.5297], [0.2140, 0.4526, 0.7334], [0.3798, 0.8558, 0.5845], [0.4526, 0.7334, 0.2140], [0.5845, 0.3798, 0.8558], [0.7334, 0.2140, 0.4526], [0.8558, 0.5845, 0.3798]], "dos_ef_per_ev_fu": 0.00, "energy_ev_per_atom": -2.645, "spacegroup": "R3 (146)"}